# 1
Here is a geometry-optimized P4Au5 structure from Alexandria. Energies are from PBE.

Relative energy among the computed polymorphs: 0.042 eV/atom
Symmetry: P6_3/mcm (193)
E_form: 0.469 eV per atom

a b c (Å): 8.3018 8.3018 5.3508
angles (deg): 90.00 90.00 120.00
Closest atoms and distances in Å follow each position.
Fractional positions:
Au1 0.7119 0.7119 0.2500  3 P 2.50-2.74
Au2 0.2881 0.0000 0.2500  3 P 2.50-2.74
Au3 0.2881 0.2881 0.7500  3 P 2.50-2.74
Au4 0.0000 0.2881 0.2500  3 P 2.50-2.74
Au5 0.6667 0.3333 0.5000  2 Au 2.68, 6 P 2.84
Au6 0.7119 0.0000 0.7500  3 P 2.50-2.74
Au7 0.3333 0.6667 0.0000  2 Au 2.68, 6 P 2.84
Au8 0.0000 0.7119 0.7500  3 P 2.50-2.74
Au9 0.3333 0.6667 0.5000  2 Au 2.68, 6 P 2.84
Au10 0.6667 0.3333 0.0000  2 Au 2.68, 6 P 2.84
P1 0.0000 0.5898 0.2500  1 Au 2.50
P2 0.4102 0.4102 0.2500  1 Au 2.50
P3 0.0000 0.0000 0.5000  2 P 2.68, 6 Au 2.74
P4 0.4102 0.0000 0.7500  1 Au 2.50
P5 0.5898 0.0000 0.2500  1 Au 2.50
P6 0.0000 0.4102 0.7500  1 Au 2.50
P7 0.5898 0.5898 0.7500  1 Au 2.50
P8 0.0000 0.0000 0.0000  2 P 2.68, 6 Au 2.74

***

# 2
Here is a geometry-optimized Pm5In2Te2 structure from Alexandria. Energies are from PBE.

Energy relative to the elements, uncorrected: -0.877 eV/atom
Symmetry: Cmce (64)

a b c (Å): 8.3037 8.3098 9.0009
angles (deg): 90.00 62.53 90.00
Closest atoms and distances in Å follow each position.
Fractional positions:
Te1 0.7005 0.5000 0.5989  7 Pm 3.20-3.27
Te2 0.2995 0.5000 0.4011  7 Pm 3.20-3.27
Te3 0.2005 0.0000 0.5989  7 Pm 3.20-3.27
Te4 0.7995 0.0000 0.4011  7 Pm 3.20-3.27
Pm1 0.5000 0.5000 0.0000  2 Te 3.20, 4 In 3.26-3.29
Pm2 0.6910 0.3340 0.2762  3 Te 3.22-3.27, 3 In 3.27-3.34
Pm3 0.3090 0.6660 0.7238  3 Te 3.22-3.27, 3 In 3.27-3.34
Pm4 0.0000 0.0000 0.0000  2 Te 3.20, 4 In 3.26-3.29
Pm5 0.9672 0.3340 0.7238  3 Te 3.22-3.27, 3 In 3.27-3.34
Pm6 0.8090 0.8340 0.7238  3 Te 3.22-3.27, 3 In 3.27-3.34
Pm7 0.1910 0.1660 0.2762  3 Te 3.22-3.27, 3 In 3.27-3.34
Pm8 0.0328 0.6660 0.2762  3 Te 3.22-3.27, 3 In 3.27-3.34
Pm9 0.4672 0.1660 0.7238  3 Te 3.22-3.27, 3 In 3.27-3.34
Pm10 0.5328 0.8340 0.2762  3 Te 3.22-3.27, 3 In 3.27-3.34
In1 0.1276 0.3753 0.0000  1 In 2.96, 6 Pm 3.26-3.29
In2 0.6276 0.1247 0.0000  1 In 2.96, 6 Pm 3.26-3.29
In3 0.8724 0.6247 0.0000  1 In 2.96, 6 Pm 3.26-3.29
In4 0.3724 0.8753 0.0000  1 In 2.96, 6 Pm 3.26-3.29

***

# 3
Here is a geometry-optimized CsBe2TlSe structure from Alexandria. Energies are from PBE.

Energy relative to the elements, uncorrected: 0.737 eV/atom
Symmetry: P4/mmm (123)

a b c (Å): 4.9372 6.4083 4.9372
angles (deg): 90.00 90.00 90.00
Closest atoms and distances in Å follow each position.
Fractional positions:
Se1 0.0000 0.0000 0.0000  4 Be 2.47
Cs1 0.5000 0.5000 0.5000  4 Tl 3.49
Tl1 0.0000 0.5000 0.0000  2 Se 3.20, 4 Cs 3.49
Be1 0.0000 0.0000 0.5000  2 Se 2.47
Be2 0.5000 0.0000 0.0000  2 Se 2.47

***

# 4
Here is a geometry-optimized Er4Th3Sc2 structure from Alexandria. Energies are from PBE.

Relative energy among the computed polymorphs: 0.000 eV/atom
Symmetry: P3m1 (156)
E_form: 0.099 eV per atom

a b c (Å): 3.4900 3.4900 25.7543
angles (deg): 90.00 90.00 120.00
Closest atoms and distances in Å follow each position.
Fractional positions:
Th1 0.0000 0.0000 0.9828  6 Sc 3.36-3.45, 6 Th 3.49
Th2 0.6667 0.3333 0.6569  6 Th 3.49, 6 Er 3.54-3.56
Th3 0.0000 0.0000 0.3189  6 Er 3.47-3.58, 6 Th 3.49
Er1 0.0000 0.0000 0.7710  3 Sc 3.34, 6 Er 3.49, 3 Th 3.56
Er2 0.6667 0.3333 0.4338  9 Er 3.47-3.49, 3 Th 3.58
Er3 0.0000 0.0000 0.5437  9 Er 3.47-3.49, 3 Th 3.54
Er4 0.6667 0.3333 0.2090  1 Sc 3.14, 3 Th 3.47, 6 Er 3.49
Sc1 0.6667 0.3333 0.8742  3 Er 3.34, 3 Th 3.45, 6 Sc 3.49
Sc2 0.6667 0.3333 0.0870  1 Er 3.14, 3 Th 3.36, 6 Sc 3.49

***

# 5
Here is a geometry-optimized GaHgSbN2 structure from Alexandria. Energies are from PBE.

Energy relative to the elements, uncorrected: 1.294 eV/atom
Symmetry: P4/mmm (123)

a b c (Å): 4.0177 5.4334 4.0177
angles (deg): 90.00 90.00 90.00
Closest atoms and distances in Å follow each position.
Fractional positions:
Hg1 0.0000 0.5000 0.0000  2 Ga 2.72, 4 Sb 2.84
Sb1 0.5000 0.5000 0.5000  4 Hg 2.84
Ga1 0.0000 0.0000 0.0000  4 N 2.01
N1 0.5000 0.0000 0.0000  2 Ga 2.01
N2 0.0000 0.0000 0.5000  2 Ga 2.01

***

# 6
Here is a geometry-optimized La2TlCdCo structure from Alexandria. Energies are from PBE.

Relative energy among the computed polymorphs: 0.026 eV/atom
Symmetry: P4/mmm (123)
E_form: -0.237 eV per atom

a b c (Å): 5.2460 5.2460 5.0963
angles (deg): 90.00 90.00 90.00
Closest atoms and distances in Å follow each position.
Fractional positions:
Cd1 0.5000 0.5000 0.5000  8 La 3.66, 4 Tl 3.71
Tl1 0.0000 0.0000 0.5000  2 Co 2.55
La1 0.5000 0.0000 0.0000  2 Co 2.62
La2 0.0000 0.5000 0.0000  2 Co 2.62
Co1 0.0000 0.0000 0.0000  2 Tl 2.55, 4 La 2.62

***

# 7
Here is a geometry-optimized NiHIN2 structure from Alexandria. Energies are from PBE.

Relative energy among the computed polymorphs: 0.928 eV/atom
Symmetry: P4/mmm (123)

a b c (Å): 3.8211 3.8211 3.7424
angles (deg): 90.00 90.00 90.00
Closest atoms and distances in Å follow each position.
Fractional positions:
H1 0.0000 0.0000 0.0000  2 I 1.87, 4 N 1.91
N1 0.5000 0.0000 0.0000  2 H 1.91
N2 0.0000 0.5000 0.0000  2 H 1.91
Ni1 0.5000 0.5000 0.5000  8 N 2.67, 4 I 2.70
I1 0.0000 0.0000 0.5000  2 H 1.87

***

# 8
Here is a geometry-optimized PmHfNi10 structure from Alexandria. Energies are from PBE.

Symmetry: Pmmm (47)
E_form: -0.289 eV per atom

a b c (Å): 3.9656 4.8245 8.3783
angles (deg): 90.00 90.00 90.00
Closest atoms and distances in Å follow each position.
Fractional positions:
Ni1 0.5000 0.2554 0.2596  8 Ni 2.36-2.47
Ni2 0.5000 0.7446 0.2596  8 Ni 2.36-2.47
Ni3 0.5000 0.7446 0.7404  8 Ni 2.36-2.47
Ni4 0.5000 0.5000 0.0000  8 Ni 2.47-2.49
Ni5 0.5000 0.2554 0.7404  8 Ni 2.36-2.47
Ni6 0.0000 0.0000 0.6574  7 Ni 2.38-2.64
Ni7 0.0000 0.0000 0.3426  7 Ni 2.38-2.64
Ni8 0.0000 0.5000 0.8199  6 Ni 2.40-2.49, 1 Hf 2.68
Ni9 0.5000 0.0000 0.5000  8 Ni 2.36-2.38
Ni10 0.0000 0.5000 0.1801  6 Ni 2.40-2.49, 1 Hf 2.68
Pm1 0.0000 0.0000 0.0000  10 Ni 2.85-3.12
Hf1 0.0000 0.5000 0.5000  6 Ni 2.68-2.75